No. 1
CaAc2Ga2Pd7 after structural relaxation, computed with PBE.

abc: 6.0844 5.9986 13.8998
angles: 90.00 98.41 90.00
Space group C2/m (No. 12)
Asymmetric unit:
1 Ca 0.0000 0.0000 0.0000
2 Ac 0.1062 0.0000 0.3500
3 Ga 0.0787 0.5000 0.2429
4 Pd 0.0000 0.5000 0.0000
5 Pd 0.1254 0.5000 0.4262
6 Pd 0.2016 0.2493 0.8508

Properties
ρ ... 9.1 Mg/m³
E_tot ... -5.123 eV per atom

***

No. 2
CaTiNb2As after structural relaxation, computed with PBE.

abc: 4.8041 4.8041 4.5346
angles: 90.00 90.00 90.00
Space group P4/mmm (No. 123)
Asymmetric unit:
1 Ca 0.0000 0.0000 0.0000
2 Ti 0.0000 0.0000 0.5000
3 Nb 0.0000 0.5000 0.0000
4 As 0.5000 0.5000 0.5000

Properties
ρ ... 5.5 Mg/m³
E_tot ... -4.933 eV per atom

***

Number 1: formation energy -0.7375 eV/atom. Number 2: formation energy 2.0043 eV/atom.